Entry 1:
Computed, not measured: crystalline LaSi2PbN at its relaxed geometry at the PBE level of DFT.

Computed properties:
Spin magnetization: 0.00 μB/f.u.
Calculated total energy: -5.200 eV/atom

a = 4.4370 Å, b = 5.0487 Å, c = 4.4370 Å
α = 90.00°, β = 90.00°, γ = 90.00°
Element x y z (fractional)
1 La 0.5000 0.5000 0.5000
2 Si 0.0000 0.0000 0.5000
3 Pb 0.0000 0.5000 0.0000
4 N 0.0000 0.0000 0.0000
5 Si 0.5000 0.0000 0.0000

Entry 2:
Computed, not measured: crystalline La2Sm4Pb3N2 at its relaxed geometry at the PBE level of DFT.

Computed properties:
Spin magnetization: 0.00 μB/f.u.
Calculated total energy: -6.042 eV/atom

a = 4.8920 Å, b = 4.8920 Å, c = 13.5749 Å
α = 100.38°, β = 100.38°, γ = 90.00°
Element x y z (fractional)
1 Sm 0.5829 0.0829 0.1658
2 Pb 0.1749 0.1749 0.3498
3 Pb 0.8251 0.8251 0.6502
4 Sm 0.4171 0.9171 0.8342
5 Sm 0.9171 0.4171 0.8342
6 Sm 0.0829 0.5829 0.1658
7 La 0.3094 0.3094 0.6189
8 N 0.6015 0.6015 0.2030
9 Pb 0.0000 0.0000 0.0000
10 La 0.6906 0.6906 0.3811
11 N 0.3985 0.3985 0.7970

Entry 3:
Computed, not measured: crystalline La2SmPbN at its relaxed geometry at the PBE level of DFT.

Computed properties:
Spin magnetization: 0.00 μB/f.u.
Calculated total energy: -6.243 eV/atom

a = 5.0182 Å, b = 5.1132 Å, c = 5.1132 Å
α = 90.00°, β = 90.00°, γ = 90.00°
Element x y z (fractional)
1 Sm 0.5000 0.0000 0.0000
2 Pb 0.5000 0.5000 0.5000
3 La 0.0000 0.5000 0.0000
4 N 0.0000 0.0000 0.0000
5 La 0.0000 0.0000 0.5000

Entry 4:
Computed, not measured: crystalline La2SmPb2N2 at its relaxed geometry at the PBE level of DFT.

Computed properties:
Spin magnetization: 0.00 μB/f.u.
Calculated total energy: -6.291 eV/atom

a = 4.6087 Å, b = 4.6087 Å, c = 9.0796 Å
α = 104.70°, β = 104.70°, γ = 90.00°
Element x y z (fractional)
1 La 0.4104 0.4104 0.8208
2 N 0.0000 0.5000 0.0000
3 Pb 0.2143 0.2143 0.4285
4 Sm 0.0000 0.0000 0.0000
5 Pb 0.7857 0.7857 0.5715
6 N 0.5000 0.0000 0.0000
7 La 0.5896 0.5896 0.1792

Entry 5:
Computed, not measured: crystalline LaSn2PbN at its relaxed geometry at the PBE level of DFT.

Computed properties:
Spin magnetization: 3.01 μB/f.u.
Calculated total energy: -3.405 eV/atom

a = 6.1357 Å, b = 6.2863 Å, c = 6.1357 Å
α = 90.00°, β = 90.00°, γ = 90.00°
Element x y z (fractional)
1 N 0.5000 0.5000 0.5000
2 La 0.0000 0.0000 0.0000
3 Sn 0.5000 0.0000 0.0000
4 Pb 0.0000 0.5000 0.0000
5 Sn 0.0000 0.0000 0.5000

Entry 6:
Computed, not measured: crystalline La4SnPbN at its relaxed geometry at the PBE level of DFT.

Computed properties:
Spin magnetization: 0.02 μB/f.u.
Calculated total energy: -5.979 eV/atom

a = 7.0068 Å, b = 7.0211 Å, c = 9.4314 Å
α = 90.00°, β = 111.81°, γ = 90.00°
Element x y z (fractional)
1 La 0.4130 0.7500 0.8261
2 La 0.0744 0.7500 0.1488
3 Sn 0.8886 0.7500 0.7772
4 La 0.0000 0.0000 0.5000
5 La 0.5000 0.5000 0.5000
6 N 0.2736 0.7500 0.5472
7 La 0.0000 0.5000 0.5000
8 La 0.9256 0.2500 0.8512
9 Sn 0.1114 0.2500 0.2228
10 N 0.7264 0.2500 0.4528
11 La 0.5870 0.2500 0.1739
12 La 0.5000 0.0000 0.5000
13 Pb 0.6086 0.7500 0.2172
14 Pb 0.3914 0.2500 0.7829

- Among the records above, which one has the lowest calculated total energy?
  La2SmPb2N2

- What is the calculated total energy in the first record?
  -5.200 eV/atom

- Number 5 is which compound?
  LaSn2PbN

- The lowest calculated total energy belongs to which entry?
  La2SmPb2N2